First-principles (GGA-PBE) data for Np2UGe3Pt4 after structural relaxation, as listed in Alexandria.

Computed properties:
- V (Å³/f.u.) = 202.2
- D(E_F) (states/eV per atom) = 2.65
- total magnetic moment (μB per atom) = 1.08
- mass density (g cm⁻³) = 14.05
- ΔE_f (eV per atom) = -0.46
- SG = P-4m2 (115)

abc: 4.2225 4.2225 11.3385
angles: 90.00 90.00 90.00
Fractional coordinates of all 10 atoms:
Np1 0.0000 0.5000 0.2389
Np2 0.5000 0.0000 0.7611
U1 0.0000 0.0000 0.5000
Ge1 0.0000 0.5000 0.8764
Ge2 0.5000 0.0000 0.1236
Ge3 0.5000 0.5000 0.5000
Pt1 0.0000 0.0000 0.0000
Pt2 0.0000 0.5000 0.6607
Pt3 0.5000 0.0000 0.3393
Pt4 0.5000 0.5000 0.0000


First-principles (GGA-PBE) data for KAuSe after structural relaxation, as listed in Alexandria.

Computed properties:
- V (Å³/f.u.) = 95.2
- ΔE_f (raw) (eV per atom) = -0.704
- total magnetic moment (μB per atom) = 0.00
- mass density (g cm⁻³) = 5.49
- SG = Pnma (62)

abc: 6.9998 5.6267 9.6686
angles: 90.00 90.00 90.00
Fractional coordinates of all 12 atoms:
K1 0.0156 0.2500 0.1552
K2 0.4844 0.7500 0.6552
K3 0.5156 0.2500 0.3448
K4 0.9844 0.7500 0.8448
Au1 0.0000 0.0000 0.5000
Au2 0.0000 0.5000 0.5000
Au3 0.5000 0.0000 0.0000
Au4 0.5000 0.5000 0.0000
Se1 0.2256 0.7500 0.3617
Se2 0.2744 0.2500 0.8617
Se3 0.7256 0.7500 0.1383
Se4 0.7744 0.2500 0.6383


First-principles (GGA-PBE) data for LiP2Br after structural relaxation, as listed in Alexandria.

Computed properties:
- V (Å³/f.u.) = 97.7
- energy above the lowest structure with this stoichiometry (meV/atom) = 53
- ΔE_f (raw) (eV per atom) = -0.446
- D(E_F) (states/eV per atom) = 0.36
- total magnetic moment (μB per atom) = 0.00
- mass density (g cm⁻³) = 2.53
- SG = C2/m (12)

abc: 7.6532 7.6532 3.8903
angles: 90.22 90.22 25.39
Fractional coordinates of all 4 atoms:
Li1 0.0000 0.0000 0.0000
P1 0.2495 0.2495 0.1690
P2 0.7505 0.7505 0.8310
Br1 0.5000 0.5000 0.5000


First-principles (GGA-PBE) data for KTlHg2Cl6 after structural relaxation, as listed in Alexandria.

Computed properties:
- V (Å³/f.u.) = 330.9
- ΔE_f (raw) (eV per atom) = -0.958
- D(E_F) (states/eV per atom) = 0.00
- total magnetic moment (μB per atom) = 0.00
- mass density (g cm⁻³) = 4.30
- SG = C2/c (15)

abc: 9.2837 9.2837 7.9845
angles: 98.65 98.65 78.65
Fractional coordinates of all 20 atoms:
K1 0.1555 0.8445 0.7500
K2 0.8445 0.1555 0.2500
Tl1 0.4285 0.5715 0.2500
Tl2 0.5715 0.4285 0.7500
Hg1 0.1328 0.3478 0.6573
Hg2 0.3478 0.1328 0.1573
Hg3 0.6522 0.8672 0.8427
Hg4 0.8672 0.6522 0.3427
Cl1 0.1079 0.1641 0.9847
Cl2 0.1546 0.5608 0.4223
Cl3 0.1641 0.1079 0.4847
Cl4 0.2382 0.5168 0.8836
Cl5 0.4392 0.8454 0.0777
Cl6 0.4832 0.7618 0.6164
Cl7 0.5168 0.2382 0.3836
Cl8 0.5608 0.1546 0.9223
Cl9 0.7618 0.4832 0.1164
Cl10 0.8359 0.8921 0.5153
Cl11 0.8454 0.4392 0.5777
Cl12 0.8921 0.8359 0.0153


First-principles (GGA-PBE) data for PmMgZnRh after structural relaxation, as listed in Alexandria.

Computed properties:
- V (Å³/f.u.) = 79.8
- D(E_F) (states/eV per atom) = 0.78
- total magnetic moment (μB per atom) = 0.00
- mass density (g cm⁻³) = 7.02
- ΔE_f (eV per atom) = -0.39
- SG = F-43m (216)

abc: 4.8331 4.8331 4.8331
angles: 60.00 60.00 60.00
Fractional coordinates of all 4 atoms:
Pm1 0.0000 0.0000 0.0000
Mg1 0.5000 0.5000 0.5000
Zn1 0.2500 0.2500 0.2500
Rh1 0.7500 0.7500 0.7500


First-principles (GGA-PBE) data for NdZn2CrN4 after structural relaxation, as listed in Alexandria.

Computed properties:
- V (Å³/f.u.) = 101.0
- ΔE_f (raw) (eV per atom) = -0.450
- D(E_F) (states/eV per atom) = 0.26
- total magnetic moment (μB per atom) = 0.13
- mass density (g cm⁻³) = 6.30
- SG = I-42m (121)

abc: 5.1882 5.1882 5.1882
angles: 118.43 118.43 92.74
Fractional coordinates of all 8 atoms:
Nd1 0.0000 0.0000 0.0000
Zn1 0.2500 0.7500 0.5000
Zn2 0.7500 0.2500 0.5000
Cr1 0.5000 0.5000 0.0000
N1 0.1607 0.1607 0.6041
N2 0.4434 0.8393 0.0000
N3 0.5566 0.5566 0.3959
N4 0.8393 0.4434 0.0000